# 1
First-principles (PBE) data for an optimized crystal structure of MgGaAs, as listed in Alexandria via LeMat-Bulk.

**Uncorrected energy**: -60.64 eV/cell
**Calculated formation energy**: -0.279 eV/atom
**Distance to the lowest polymorph of the same formula**: 6.0 kJ per mole of atoms
**Fermi-level density of states**: 0.47 states/eV/f.u.

Cell: 4.4159 4.4159 27.5448 Å, 90.00 90.00 120.00°
Space group R-3m (No. 166, hexagonal axes)
Unique sites:
Mg  0.0000  0.0000  0.1250 (multiplicity 6)
Ga  0.0000  0.0000  0.3147 (multiplicity 6)
As  0.0000  0.0000  0.2271 (multiplicity 6)

# 2
First-principles (PBE) data for an optimized crystal structure of MgGa2As2, as listed in Alexandria via LeMat-Bulk.

**Uncorrected energy**: -34.16 eV/cell
**Calculated formation energy**: -0.026 eV/atom
**Distance to the lowest polymorph of the same formula**: 1.9 kJ per mole of atoms
**Fermi-level density of states**: 2.25 states/eV/f.u.

Cell: 5.002 5.002 8.386 Å, 90.00 90.00 90.00°
Space group I4/mmm (No. 139)
Unique sites:
Mg  0.000  0.000  0.000 (multiplicity 2)
Ga  0.000  0.000  0.353 (multiplicity 4)
As  0.000  0.500  0.250 (multiplicity 4)

# 3
First-principles (PBE) data for an optimized crystal structure of Mg2GaAs, as listed in Alexandria via LeMat-Bulk.

**Uncorrected energy**: -24.16 eV/cell
**Calculated formation energy**: -0.304 eV/atom
**Distance to the lowest polymorph of the same formula**: 6.6 kJ per mole of atoms
**Fermi-level density of states**: 0.55 states/eV/f.u.

Cell: 6.799 3.987 6.830 Å, 90.00 117.19 90.00°
Space group Pm (No. 6)
Unique sites:
Mg  0.000  0.000  0.000 (multiplicity 1)
Mg  0.065  0.000  0.582 (multiplicity 1)
Mg  0.479  0.000  0.425 (multiplicity 1)
Mg  0.719  0.500  0.234 (multiplicity 1)
Ga  0.427  0.000  0.986 (multiplicity 1)
Ga  0.473  0.500  0.769 (multiplicity 1)
As  0.147  0.500  0.336 (multiplicity 1)
As  0.798  0.500  0.664 (multiplicity 1)